(1)
DyHoCu2: relaxed, PBE-GGA.

Cell: 6.923 6.923 6.923 Å, 90.00 90.00 90.00°
Space group Fm-3m (No. 225)
Inequivalent atoms, fractional coordinates:
Dy (0.000, 0.000, 0.000) [4 per cell]
Ho (0.000, 0.000, 0.500) [4 per cell]
Cu (0.250, 0.250, 0.250) [8 per cell]

Calculated values
Energy of formation from the pure elements in eV/atom: -0.26
Electronic total energy in eV per formula unit: -18.40
Crystal system: cubic
Relative energy among the computed polymorphs in eV/f.u.: 0.018

---

(2)
DyHoCu: relaxed, PBE-GGA.

Cell: 12.511 3.688 8.054 Å, 90.00 126.72 90.00°
Space group C2/m (No. 12)
Inequivalent atoms, fractional coordinates:
Dy (0.156, 0.000, 0.063) [4 per cell]
Ho (0.098, 0.500, 0.387) [4 per cell]
Cu (0.121, 0.000, 0.674) [4 per cell]

Calculated values
Energy of formation from the pure elements in eV/atom: -0.15
Electronic total energy in eV per formula unit: -13.73
Crystal system: monoclinic
Relative energy among the computed polymorphs in eV/f.u.: 0.051

---

(3)
Dy2HoCu3: relaxed, PBE-GGA.

Cell: 3.456 3.456 10.408 Å, 90.00 90.00 90.00°
Space group P4/mmm (No. 123)
Inequivalent atoms, fractional coordinates:
Dy (0.000, 0.000, 0.167) [2 per cell]
Ho (0.000, 0.000, 0.500) [1 per cell]
Cu (0.500, 0.500, 0.000) [1 per cell]
Cu (0.500, 0.500, 0.335) [2 per cell]

Calculated values
Energy of formation from the pure elements in eV/atom: -0.26
Electronic total energy in eV per formula unit: -27.63
Crystal system: tetragonal

---

(4)
DyHoCu2: relaxed, PBE-GGA.

Cell: 3.455 3.455 6.923 Å, 90.00 90.00 90.00°
Space group P4/mmm (No. 123)
Inequivalent atoms, fractional coordinates:
Dy (0.000, 0.000, 0.000) [1 per cell]
Ho (0.000, 0.000, 0.500) [1 per cell]
Cu (0.500, 0.500, 0.252) [2 per cell]

Calculated values
Energy of formation from the pure elements in eV/atom: -0.26
Electronic total energy in eV per formula unit: -18.41
Crystal system: tetragonal
Relative energy among the computed polymorphs in eV/f.u.: 0.013

---

(5)
DyHoCu: relaxed, PBE-GGA.

Cell: 6.830 6.830 6.830 Å, 90.00 90.00 90.00°
Space group F-43m (No. 216)
Inequivalent atoms, fractional coordinates:
Dy (0.000, 0.000, 0.000) [4 per cell]
Ho (0.000, 0.000, 0.500) [4 per cell]
Cu (0.250, 0.250, 0.750) [4 per cell]

Calculated values
Energy of formation from the pure elements in eV/atom: 0.05
Electronic total energy in eV per formula unit: -13.13
Crystal system: cubic
Relative energy among the computed polymorphs in eV/f.u.: 0.654

---

(6)
Dy2Ho2Cu3: relaxed, PBE-GGA.

Cell: 8.665 8.665 8.665 Å, 90.00 90.00 90.00°
Space group I2_13 (No. 199)
Inequivalent atoms, fractional coordinates:
Dy (0.185, 0.315, 0.685) [8 per cell]
Ho (0.065, 0.065, 0.065) [8 per cell]
Cu (0.000, 0.250, 0.373) [12 per cell]

Calculated values
Energy of formation from the pure elements in eV/atom: -0.10
Electronic total energy in eV per formula unit: -31.32
Crystal system: cubic

---

(7)
DyHo5Cu6: relaxed, PBE-GGA.

Cell: 4.904 14.712 6.852 Å, 90.00 90.00 90.00°
Space group Cmmm (No. 65)
Inequivalent atoms, fractional coordinates:
Dy (0.000, 0.000, 0.000) [2 per cell]
Ho (0.000, 0.000, 0.500) [2 per cell]
Ho (0.000, 0.333, 0.000) [4 per cell]
Ho (0.000, 0.333, 0.500) [4 per cell]
Cu (0.000, 0.167, 0.250) [8 per cell]
Cu (0.000, 0.500, 0.251) [4 per cell]

Calculated values
Energy of formation from the pure elements in eV/atom: -0.27
Electronic total energy in eV per formula unit: -55.27
Crystal system: orthorhombic

---

(8)
DyHoCu: relaxed, PBE-GGA.

Cell: 3.464 3.464 12.288 Å, 90.00 90.00 90.00°
Space group I4mm (No. 107)
Inequivalent atoms, fractional coordinates:
Dy (0.000, 0.000, 0.000) [2 per cell]
Ho (0.000, 0.000, 0.279) [2 per cell]
Cu (0.000, 0.000, 0.641) [2 per cell]

Calculated values
Energy of formation from the pure elements in eV/atom: -0.13
Electronic total energy in eV per formula unit: -13.67
Crystal system: tetragonal
Relative energy among the computed polymorphs in eV/f.u.: 0.110

---

(9)
DyHo2Cu4: relaxed, PBE-GGA.

Cell: 5.101 5.101 11.331 Å, 90.00 90.00 90.00°
Space group I4/mmm (No. 139)
Inequivalent atoms, fractional coordinates:
Dy (0.000, 0.000, 0.000) [2 per cell]
Ho (0.000, 0.000, 0.288) [4 per cell]
Cu (0.000, 0.500, 0.120) [8 per cell]

Calculated values
Energy of formation from the pure elements in eV/atom: -0.02
Electronic total energy in eV per formula unit: -30.27
Crystal system: tetragonal

---

(10)
Dy4HoCu: relaxed, PBE-GGA.

Cell: 3.498 3.498 13.700 Å, 90.00 90.00 90.00°
Space group P4/mmm (No. 123)
Inequivalent atoms, fractional coordinates:
Dy (0.000, 0.000, 0.125) [2 per cell]
Dy (0.500, 0.500, 0.317) [2 per cell]
Ho (0.000, 0.000, 0.500) [1 per cell]
Cu (0.500, 0.500, 0.000) [1 per cell]

Calculated values
Energy of formation from the pure elements in eV/atom: -0.06
Electronic total energy in eV per formula unit: -27.43
Crystal system: tetragonal

---

(11)
DyHo2Cu: relaxed, PBE-GGA.

Cell: 6.791 9.664 6.463 Å, 90.00 90.00 90.00°
Space group Pnma (No. 62)
Inequivalent atoms, fractional coordinates:
Dy (0.017, 0.250, 0.131) [4 per cell]
Ho (0.190, 0.059, 0.686) [8 per cell]
Cu (0.096, 0.750, 0.448) [4 per cell]

Calculated values
Energy of formation from the pure elements in eV/atom: -0.11
Electronic total energy in eV per formula unit: -18.30
Crystal system: orthorhombic
Relative energy among the computed polymorphs in eV/f.u.: 0.000

---

(12)
DyHo4Cu2: relaxed, PBE-GGA.

Cell: 4.8058 4.8058 29.2945 Å, 90.00 90.00 120.00°
Space group R-3m (No. 166, hexagonal axes)
Inequivalent atoms, fractional coordinates:
Dy (0.0000, 0.0000, 0.0000) [3 per cell]
Ho (0.0000, 0.0000, 0.2004) [6 per cell]
Ho (0.0000, 0.0000, 0.4013) [6 per cell]
Cu (0.0000, 0.0000, 0.1008) [6 per cell]

Calculated values
Energy of formation from the pure elements in eV/atom: 0.16
Electronic total energy in eV per formula unit: -29.98
Crystal system: trigonal

---

What did the first record say?
DyHoCu2: relaxed, PBE-GGA.

Cell: 6.923 6.923 6.923 Å, 90.00 90.00 90.00°
Space group Fm-3m (No. 225)
Inequivalent atoms, fractional coordinates:
Dy (0.000, 0.000, 0.000) [4 per cell]
Ho (0.000, 0.000, 0.500) [4 per cell]
Cu (0.250, 0.250, 0.250) [8 per cell]

Calculated values
Energy of formation from the pure elements in eV/atom: -0.26
Electronic total energy in eV per formula unit: -18.40
Crystal system: cubic
Relative energy among the computed polymorphs in eV/f.u.: 0.018